DFT (PBE) results for a relaxed structure of InFe2Cl.

Lattice parameters (Å, degrees): 2.963 4.086 6.325 89.98 90.00 90.00
Site moments in Bohr magnetons follow the coordinates.
Fractional positions:
Fe: 0.000 0.750 0.437  2.59
In: 0.500 0.250 0.250  -0.14
Fe: 0.000 0.750 0.063  2.59
Cl: 0.500 0.750 0.750  0.05

Raw total energy ... -5.192 eV per atom
Formation energy (no corrections) ... 0.1857 eV/atom